NaV2WO8 | PBE with a Hubbard U | relaxed

a = 5.790 Å, b = 5.790 Å, c = 5.790 Å
α = 105.82°, β = 105.82°, γ = 117.06°
Sites, in units of the cell vectors:
Na 0.000 0.000 0.000
V 0.250 0.750 0.500
V 0.500 0.500 0.000
W 0.750 0.250 0.500
O 0.045 0.369 0.324
O 0.045 0.721 0.676
O 0.132 0.339 0.793
O 0.279 0.955 0.324
O 0.546 0.339 0.207
O 0.631 0.955 0.676
O 0.661 0.454 0.793
O 0.661 0.868 0.207

## Properties
The uncorrected energy comes out at -7.065 eV/atom. Its symmetry is I-4m2. The calculation puts the calculated density at 4.9 Mg/m³. The magnetic moment comes out at 1.0 μB/f.u.